A plane-wave DFT calculation with PBE was carried out for a relaxed NbPtPb2 crystal.

a b c (Å): 4.935 4.935 4.935
angles (deg): 60.00 60.00 60.00
Fractional coordinates of all 4 atoms:
Nb (0.000, 0.000, 0.000)
Pt (0.500, 0.500, 0.500)
Pb (0.250, 0.250, 0.250)
Pb (0.750, 0.750, 0.750)

Computed properties:
- Space-group type: Fm-3m
- Distance to the lowest polymorph of the same formula: 0 meV per atom
- Spin magnetization: 0.00 μB per atom
- Energy of formation: 0.38 eV per atom

A plane-wave DFT calculation with PBE was carried out for a relaxed SmCd2Pd2 crystal.

a b c (Å): 4.824 4.824 5.542
angles (deg): 91.60 91.60 60.64
Fractional coordinates of all 5 atoms:
Sm (0.000, 0.000, 0.000)
Cd (0.327, 0.327, 0.641)
Cd (0.673, 0.673, 0.359)
Pd (0.338, 0.338, 0.150)
Pd (0.662, 0.662, 0.850)

Computed properties:
- Space-group type: C2/m
- Distance to the lowest polymorph of the same formula: 23 meV per atom
- Spin magnetization: 0.00 μB per atom
- Energy of formation: -0.51 eV per atom

Q: spin magnetization of number 2 (SmCd2Pd2)?
A: 0.00 μB per atom